A relaxed structure of Sr4LiZn3. Source: Alexandria, functional PBE.

The structure in POSCAR format:
```
Sr4LiZn3
1.0
-0.375 4.166 -2.242
-1.192 -2.193 -3.876
-11.698 0.678 3.215
Sr Li Zn
4 1 3
Direct
0.500 0.500 0.366
0.000 0.500 0.848
0.000 0.000 0.148
0.500 0.000 0.642
0.500 0.500 0.056
0.000 0.500 0.558
0.000 0.000 0.447
0.500 0.000 0.936
```

- raw total energy (eV per atom) = -1.70
- ΔH_f (0 K) (eV/atom) = -0.145
- size of the total moment (μB per cell) = 0.00
- SG = No. 25